P | Pa2BiP | GGA-PBE | relaxed

Lattice parameters (Å, degrees): 4.1024 4.1024 21.6093 90.00 90.00 120.00
Space group R-3m (No. 166, hexagonal axes)
Symmetry-distinct sites (fractional):
Pa: 0.0000 0.0000 0.2339 [6 per cell]
Bi: 0.0000 0.0000 0.0000 [3 per cell]
P: 0.0000 0.0000 0.5000 [3 per cell]

=====

Q | Pa2BiP | GGA-PBE | relaxed

Lattice parameters (Å, degrees): 4.0195 4.0195 22.6880 90.00 90.00 120.00
Space group R3m (No. 160, hexagonal axes)
Symmetry-distinct sites (fractional):
Pa: 0.0000 0.0000 0.0000 [3 per cell]
Pa: 0.0000 0.0000 0.1977 [3 per cell]
Bi: 0.0000 0.0000 0.7670 [3 per cell]
P: 0.0000 0.0000 0.5981 [3 per cell]

=====

P takes first place; second place is 6.5 kJ/mol of atoms up.

=====

P | BiPPb3 | GGA-PBE | relaxed

Lattice parameters (Å, degrees): 5.491 5.491 5.491 90.00 90.00 90.00
Space group Pm-3m (No. 221)
Symmetry-distinct sites (fractional):
Bi: 0.000 0.000 0.000 [1 per cell]
P: 0.500 0.500 0.500 [1 per cell]
Pb: 0.000 0.500 0.500 [3 per cell]

=====

Q | BiPPb3 | GGA-PBE | relaxed

Lattice parameters (Å, degrees): 5.964 5.964 5.964 90.00 90.00 90.00
Space group Pm-3m (No. 221)
Symmetry-distinct sites (fractional):
Bi: 0.000 0.000 0.000 [1 per cell]
P: 0.500 0.500 0.500 [1 per cell]
Pb: 0.000 0.000 0.500 [3 per cell]

=====

P takes first place; second place is 69.9 kJ/mol of atoms up.